The following is a GGA+U calculation of CaCoO2 after structural relaxation, from Alexandria via LeMat-Bulk.

## Properties
magnetization: 3.0 μB/f.u.
mass density: 4.50 g/cm³
excess energy over the best structure of this formula in the dataset: 0 meV/atom

```
data_CaCoO2
_space_group_name_H-M_alt 'P n m a'
_space_group_IT_number 62
_space_group_name_Hall '-P 2ac 2n'
_cell_length_a 5.532
_cell_length_b 3.228
_cell_length_c 10.833
_cell_angle_alpha 90.00
_cell_angle_beta 90.00
_cell_angle_gamma 90.00
loop_
_atom_site_label
_atom_site_type_symbol
_atom_site_fract_x
_atom_site_fract_y
_atom_site_fract_z
Ca1 Ca 0.114 0.250 0.138
Co1 Co 0.107 0.750 0.388
O1 O 0.131 0.250 0.753
O2 O 0.232 0.250 0.489
```